Run A
Compound: CuRuW2
Source: the Alexandria database
Functional: GGA-PBEsol
Structure: optimized geometry

```
4
Lattice="2.729 0.029 0.000 -0.029 2.729 0.000 0.000 0.000 7.579" Properties=species:S:1:pos:R:3 pbc="T T T"
Cu 1.350 1.379 3.790
Ru 1.350 1.379 0.000
W 0.000 0.000 1.900
W 0.000 0.000 5.679
```

Computed properties:
Its density of states at the Fermi level is 3.5 states/eV per cell.


Run B
Compound: CuRuW2
Source: the Alexandria database
Functional: GGA-PBEsol
Structure: optimized geometry

```
4
Lattice="-0.137 2.642 0.676 -0.772 -0.687 2.527 7.294 -0.179 2.180" Properties=species:S:1:pos:R:3 pbc="T T T"
Cu 3.707 -0.091 1.108
Ru 4.966 0.845 3.222
W 7.152 -0.176 2.138
W 1.499 0.930 2.186
```

Computed properties:
Its density of states at the Fermi level is 3.9 states/eV per cell.


Most stable pick: run A. Distance to second place: 40 meV per atom.


Run A
Compound: YCuRu2
Source: the Alexandria database
Functional: GGA-PBEsol
Structure: optimized geometry

```
4
Lattice="-3.242 -0.836 -2.939 -4.117 -0.925 1.429 -3.281 2.954 -0.597" Properties=species:S:1:pos:R:3 pbc="T T T"
Cu -5.320 0.597 -1.054
Ru 0.000 0.000 0.000
Ru -2.660 0.298 -0.527
Y -7.980 0.895 -1.580
```

Computed properties:
Its density of states at the Fermi level is 3.4 states/eV per cell.


Run B
Compound: YCuRu2
Source: the Alexandria database
Functional: GGA-PBEsol
Structure: optimized geometry

```
4
Lattice="3.899 0.000 0.000 0.000 3.899 0.000 0.000 0.000 4.068" Properties=species:S:1:pos:R:3 pbc="T T T"
Cu 0.000 0.000 2.034
Ru 0.000 1.949 0.000
Ru 1.949 0.000 0.000
Y 1.949 1.949 2.034
```

Computed properties:
Its density of states at the Fermi level is 4.7 states/eV per cell.


Run C
Compound: YCuRu2
Source: the Alexandria database
Functional: GGA-PBEsol
Structure: optimized geometry

```
4
Lattice="-1.383 2.641 -0.349 -1.744 1.082 2.191 5.414 5.053 3.869" Properties=species:S:1:pos:R:3 pbc="T T T"
Cu 0.000 0.000 0.000
Ru 0.431 2.111 1.357
Ru 1.855 6.666 4.354
Y 1.143 4.388 2.855
```

Computed properties:
Its density of states at the Fermi level is 5.2 states/eV per cell.


Most stable pick: run B. Distance to second place: 45 meV per atom.


Run A
Compound: ZnCuRu
Source: the Alexandria database
Functional: GGA-PBEsol
Structure: optimized geometry

```
3
Lattice="-1.478 3.683 -0.773 -1.848 2.092 2.925 1.781 3.266 1.584" Properties=species:S:1:pos:R:3 pbc="T T T"
Cu -0.772 4.520 1.868
Ru -0.386 2.260 0.934
Zn 0.000 0.000 0.000
```

Computed properties:
Its density of states at the Fermi level is 4.6 states/eV per cell.


Run B
Compound: ZnCuRu
Source: the Alexandria database
Functional: GGA-PBEsol
Structure: optimized geometry

```
3
Lattice="2.575 0.011 0.000 -1.065 2.345 0.000 -0.755 -1.178 6.383" Properties=species:S:1:pos:R:3 pbc="T T T"
Cu 0.755 1.178 6.348
Ru 0.755 1.178 2.121
Zn 0.000 0.000 4.296
```

Computed properties:
Its density of states at the Fermi level is 2.3 states/eV per cell.


Most stable pick: run B. Distance to second place: 581 meV per atom.


Run A
Compound: Cu3SbS
Source: the Alexandria database
Functional: GGA-PBEsol
Structure: optimized geometry

```
5
Lattice="-3.978 1.553 1.026 0.322 -1.810 3.988 1.834 3.687 1.526" Properties=species:S:1:pos:R:3 pbc="T T T"
Sb -0.911 1.715 3.270
S 0.000 0.000 0.000
Cu 0.161 -0.905 1.994
Cu 0.917 1.844 0.763
Cu -1.989 0.777 0.513
```

Computed properties:
Its density of states at the Fermi level is 3.8 states/eV per cell.


Run B
Compound: Cu3SbS
Source: the Alexandria database
Functional: GGA-PBEsol
Structure: optimized geometry

```
5
Lattice="4.745 0.000 0.000 0.000 4.745 0.000 0.000 0.000 4.745" Properties=species:S:1:pos:R:3 pbc="T T T"
Sb 0.000 0.000 0.000
S 2.372 2.372 2.372
Cu 0.000 2.372 0.000
Cu 0.000 0.000 2.372
Cu 2.372 0.000 0.000
```

Computed properties:
Its density of states at the Fermi level is 5.2 states/eV per cell.


Most stable pick: run A. Distance to second place: 649 meV per atom.


Run A
Compound: TaCuS2
Source: the Alexandria database
Functional: GGA-PBEsol
Structure: optimized geometry

```
8
Lattice="3.326 0.000 0.000 -1.663 2.881 0.000 0.000 0.000 13.150" Properties=species:S:1:pos:R:3 pbc="T T T"
Ta 0.000 1.921 3.341
Ta 1.663 0.960 9.916
Cu 0.000 1.921 0.479
Cu 1.663 0.960 7.054
S 0.000 1.921 8.318
S 1.663 0.960 4.879
S 1.663 0.960 1.743
S 0.000 1.921 11.454
```

Computed properties:
Its density of states at the Fermi level is 0.3 states/eV per cell.


Run B
Compound: TaCuS2
Source: the Alexandria database
Functional: GGA-PBEsol
Structure: optimized geometry

```
4
Lattice="-1.079 3.883 -1.478 -3.613 1.883 1.352 0.201 3.415 2.593" Properties=species:S:1:pos:R:3 pbc="T T T"
S -1.123 2.295 0.617
S -3.369 6.886 1.850
Cu 0.000 0.000 0.000
Ta -2.246 4.591 1.234
```

Computed properties:
Its density of states at the Fermi level is 3.1 states/eV per cell.


Most stable pick: run A. Distance to second place: 624 meV per atom.


Run A
Compound: CuTe2S
Source: the Alexandria database
Functional: GGA-PBEsol
Structure: optimized geometry

```
4
Lattice="-1.783 -2.442 -1.563 -0.324 -3.063 1.449 -8.208 0.951 4.173" Properties=species:S:1:pos:R:3 pbc="T T T"
S -5.158 -2.277 2.029
Te -4.160 -4.743 1.037
Te -6.155 0.189 3.021
Cu 0.000 0.000 0.000
```

Computed properties:
Its density of states at the Fermi level is 2.3 states/eV per cell.


Run B
Compound: CuTe2S
Source: the Alexandria database
Functional: GGA-PBEsol
Structure: optimized geometry

```
4
Lattice="4.804 0.000 0.000 2.402 4.161 0.000 2.402 1.387 3.923" Properties=species:S:1:pos:R:3 pbc="T T T"
S 0.000 0.000 0.000
Te 2.402 1.387 0.981
Te 7.207 4.161 2.942
Cu 4.804 2.774 1.961
```

Computed properties:
Its density of states at the Fermi level is 2.3 states/eV per cell.


Most stable pick: run B. Distance to second place: 65 meV per atom.


Run A
Compound: Cu2SiSb
Source: the Alexandria database
Functional: GGA-PBEsol
Structure: optimized geometry

```
4
Lattice="4.486 0.000 0.000 2.243 3.885 0.000 2.243 1.295 3.662" Properties=species:S:1:pos:R:3 pbc="T T T"
Cu 2.243 1.295 0.916
Cu 6.728 3.885 2.747
Sb 0.000 0.000 0.000
Si 4.486 2.590 1.831
```

Computed properties:
Its density of states at the Fermi level is 1.8 states/eV per cell.


Run B
Compound: Cu2SiSb
Source: the Alexandria database
Functional: GGA-PBEsol
Structure: optimized geometry

```
4
Lattice="3.012 0.000 0.000 0.000 3.012 0.000 0.000 0.000 7.065" Properties=species:S:1:pos:R:3 pbc="T T T"
Cu 0.000 0.000 0.053
Cu 1.506 1.506 1.407
Sb 0.000 0.000 3.266
Si 1.506 1.506 5.872
```

Computed properties:
Its density of states at the Fermi level is 1.7 states/eV per cell.


Most stable pick: run B. Distance to second place: 147 meV per atom.


Run A
Compound: Tl2CuSb
Source: the Alexandria database
Functional: GGA-PBEsol
Structure: optimized geometry

```
4
Lattice="-2.228 -0.928 -2.033 4.161 -0.461 -4.351 -1.358 -4.646 3.610" Properties=species:S:1:pos:R:3 pbc="T T T"
Cu 0.288 -3.017 -1.387
Sb -1.114 -0.464 -1.016
Tl -0.679 -2.323 1.805
Tl 2.081 -0.230 -2.175
```

Computed properties:
Its density of states at the Fermi level is 2.2 states/eV per cell.


Run B
Compound: Tl2CuSb
Source: the Alexandria database
Functional: GGA-PBEsol
Structure: optimized geometry

```
4
Lattice="3.427 0.000 0.000 1.714 2.968 0.000 1.714 0.989 9.194" Properties=species:S:1:pos:R:3 pbc="T T T"
Cu 0.000 0.000 0.000
Sb 3.427 1.979 4.597
Tl 1.714 0.989 1.914
Tl 5.141 2.968 7.280
```

Computed properties:
Its density of states at the Fermi level is 1.7 states/eV per cell.


Most stable pick: run B. Distance to second place: 97 meV per atom.


Run A
Compound: CuSb2W
Source: the Alexandria database
Functional: GGA-PBEsol
Structure: optimized geometry

```
4
Lattice="-2.208 3.940 -0.917 -2.573 -1.751 -1.329 -2.021 -0.170 4.137" Properties=species:S:1:pos:R:3 pbc="T T T"
Cu -2.297 -0.961 1.404
Sb 0.000 0.000 0.000
Sb -2.115 1.885 1.610
W -2.390 1.094 -1.123
```

Computed properties:
Its density of states at the Fermi level is 2.7 states/eV per cell.


Run B
Compound: CuSb2W
Source: the Alexandria database
Functional: GGA-PBEsol
Structure: optimized geometry

```
4
Lattice="-4.492 0.354 1.473 -2.277 -3.835 1.607 -1.020 -0.392 4.613" Properties=species:S:1:pos:R:3 pbc="T T T"
Cu -3.894 -1.937 3.846
Sb 0.000 0.000 0.000
Sb -5.842 -2.905 5.770
W -1.947 -0.968 1.923
```

Computed properties:
Its density of states at the Fermi level is 4.2 states/eV per cell.


Most stable pick: run A. Distance to second place: 400 meV per atom.


Run A
Compound: SrScCu2
Source: the Alexandria database
Functional: GGA-PBEsol
Structure: optimized geometry

```
4
Lattice="-2.224 4.295 -0.507 -3.755 0.448 -3.058 -4.495 0.632 1.745" Properties=species:S:1:pos:R:3 pbc="T T T"
Cu -7.855 4.031 -1.365
Cu -2.618 1.344 -0.455
Sc -5.237 2.688 -0.910
Sr 0.000 0.000 0.000
```

Computed properties:
Its density of states at the Fermi level is 3.6 states/eV per cell.


Run B
Compound: SrScCu2
Source: the Alexandria database
Functional: GGA-PBEsol
Structure: optimized geometry

```
4
Lattice="4.148 0.000 0.000 0.000 4.148 0.000 -2.074 -2.074 4.598" Properties=species:S:1:pos:R:3 pbc="T T T"
Cu 0.000 0.000 0.000
Cu 2.074 0.000 2.299
Sc 2.074 2.074 0.000
Sr 0.000 2.074 2.299
```

Computed properties:
Its density of states at the Fermi level is 3.5 states/eV per cell.


Most stable pick: run A. Distance to second place: 195 meV per atom.


Run A
Compound: ScTaCu2
Source: the Alexandria database
Functional: GGA-PBEsol
Structure: optimized geometry

```
4
Lattice="2.778 0.000 0.000 0.000 4.691 -0.018 -1.389 -1.640 4.687" Properties=species:S:1:pos:R:3 pbc="T T T"
Cu 0.000 4.452 0.181
Cu 1.389 0.574 2.106
Sc 0.000 0.507 4.556
Ta 0.000 2.913 2.484
```

Computed properties:
Its density of states at the Fermi level is 3.5 states/eV per cell.


Run B
Compound: ScTaCu2
Source: the Alexandria database
Functional: GGA-PBEsol
Structure: optimized geometry

```
4
Lattice="2.957 0.000 0.000 1.478 2.561 0.000 1.478 0.854 8.446" Properties=species:S:1:pos:R:3 pbc="T T T"
Cu 1.478 0.854 8.314
Cu 4.435 2.561 6.523
Sc 2.957 1.707 4.346
Ta 1.478 0.854 1.932
```

Computed properties:
Its density of states at the Fermi level is 3.3 states/eV per cell.


Most stable pick: run A. Distance to second place: 179 meV per atom.


Run A
Compound: ScCuTc2
Source: the Alexandria database
Functional: GGA-PBEsol
Structure: optimized geometry

```
4
Lattice="-1.799 -2.433 -0.304 0.515 -0.006 -2.997 5.106 -3.886 0.885" Properties=species:S:1:pos:R:3 pbc="T T T"
Cu 2.441 -1.858 0.423
Sc 3.164 -4.116 -0.991
Tc 0.169 -0.129 0.029
Tc 0.601 -2.165 -1.435
```

Computed properties:
Its density of states at the Fermi level is 2.0 states/eV per cell.


Run B
Compound: ScCuTc2
Source: the Alexandria database
Functional: GGA-PBEsol
Structure: optimized geometry

```
4
Lattice="-0.149 -3.050 -0.835 2.282 0.829 -3.435 3.663 -0.793 2.242" Properties=species:S:1:pos:R:3 pbc="T T T"
Cu 1.757 -1.921 0.703
Sc 2.972 0.018 -0.597
Tc 0.000 0.000 0.000
Tc 1.066 -1.110 -2.135
```

Computed properties:
Its density of states at the Fermi level is 2.8 states/eV per cell.


Run C
Compound: ScCuTc2
Source: the Alexandria database
Functional: GGA-PBEsol
Structure: optimized geometry

```
4
Lattice="4.341 0.000 0.000 -2.171 3.761 -0.118 0.000 -2.392 3.623" Properties=species:S:1:pos:R:3 pbc="T T T"
Cu 2.171 -1.196 1.811
Sc 0.000 0.086 2.658
Tc 0.000 0.000 0.000
Tc 2.171 1.282 0.847
```

Computed properties:
Its density of states at the Fermi level is 1.4 states/eV per cell.


Most stable pick: run A. Distance to second place: 37 meV per atom.


Run A
Compound: ScCuTc
Source: the Alexandria database
Functional: GGA-PBEsol
Structure: optimized geometry

```
3
Lattice="2.724 0.041 0.000 -0.062 2.724 0.000 -1.331 -1.383 6.034" Properties=species:S:1:pos:R:3 pbc="T T T"
Cu 0.000 0.000 0.086
Sc 0.000 0.000 4.066
Tc 1.331 1.383 1.883
```

Computed properties:
Its density of states at the Fermi level is 2.6 states/eV per cell.


Run B
Compound: ScCuTc
Source: the Alexandria database
Functional: GGA-PBEsol
Structure: optimized geometry

```
3
Lattice="-3.475 0.245 2.274 -2.913 -2.953 -0.327 -0.626 -2.662 3.136" Properties=species:S:1:pos:R:3 pbc="T T T"
Cu -1.753 -1.342 1.271
Sc 0.000 0.000 0.000
Tc -3.507 -2.685 2.541
```

Computed properties:
Its density of states at the Fermi level is 5.0 states/eV per cell.


Most stable pick: run A. Distance to second place: 380 meV per atom.


Run A
Compound: Sc2CuTe
Source: the Alexandria database
Functional: GGA-PBEsol
Structure: optimized geometry

```
4
Lattice="3.582 0.000 0.000 0.000 3.582 0.000 0.000 0.000 6.105" Properties=species:S:1:pos:R:3 pbc="T T T"
Cu 1.791 1.791 0.000
Sc 0.000 0.000 1.441
Sc 0.000 0.000 4.663
Te 1.791 1.791 3.052
```

Computed properties:
Its density of states at the Fermi level is 3.9 states/eV per cell.


Run B
Compound: Sc2CuTe
Source: the Alexandria database
Functional: GGA-PBEsol
Structure: optimized geometry

```
4
Lattice="-2.057 -3.003 1.203 1.532 -2.513 2.457 -2.487 1.823 6.407" Properties=species:S:1:pos:R:3 pbc="T T T"
Cu -1.506 -1.847 5.033
Sc -2.196 -2.870 7.408
Sc -0.816 -0.824 2.658
Te 0.000 0.000 0.000
```

Computed properties:
Its density of states at the Fermi level is 3.7 states/eV per cell.


Most stable pick: run B. Distance to second place: 7 meV per atom.